[1]
{
  "formula": "Na5CuTeS2",
  "functional": "GGA-PBE",
  "state": "optimized geometry",
  "dos_at_fermi_per_ev_atom": 0.00,
  "e_form_raw_kj_per_mol_fu": -733,
  "sg": "P4/mmm (123)",
  "lattice": [[5.281, 0.000, 0.000], [0.000, 5.281, 0.000], [0.000, 0.000, 9.716]],
  "species": ["S", "Te", "S", "Na", "Cu", "Na", "Na", "Na", "Na"],
  "frac_coords": [[0.000, 0.000, 0.219], [0.500, 0.500, 0.500], [0.000, 0.000, 0.781], [0.000, 0.500, 0.723], [0.000, 0.000, 0.000], [0.500, 0.000, 0.723], [0.000, 0.000, 0.500], [0.000, 0.500, 0.277], [0.500, 0.000, 0.277]]
}

[2]
{
  "formula": "Na2CuTeS4",
  "functional": "GGA-PBE",
  "state": "optimized geometry",
  "dos_at_fermi_per_ev_atom": 0.54,
  "e_form_raw_kj_per_mol_fu": -238,
  "sg": "I-42m (121)",
  "lattice": [[6.277, 0.000, 0.000], [3.139, 5.199, 0.000], [3.139, 0.000, 5.199]],
  "species": ["Na", "Te", "S", "S", "Cu", "Na", "S", "S"],
  "frac_coords": [[0.500, 0.500, 0.500], [0.000, 0.000, 0.000], [0.554, 0.000, 0.359], [0.913, 0.000, 0.641], [0.500, 0.000, 0.000], [0.000, 0.500, 0.500], [0.446, 0.641, 0.000], [0.087, 0.359, 0.000]]
}

[3]
{
  "formula": "NaCuTeS2",
  "functional": "GGA-PBE",
  "state": "optimized geometry",
  "dos_at_fermi_per_ev_atom": 0.02,
  "e_form_raw_kj_per_mol_fu": -155,
  "sg": "P2/c (13)",
  "lattice": [[4.538, 0.000, 0.000], [0.000, 7.118, -0.191], [0.000, -2.377, 7.788]],
  "species": ["Te", "Te", "Na", "Na", "S", "S", "S", "S", "Cu", "Cu"],
  "frac_coords": [[0.657, 0.000, 0.250], [0.343, 0.000, 0.750], [0.743, 0.500, 0.250], [0.257, 0.500, 0.750], [0.773, 0.283, 0.537], [0.227, 0.717, 0.463], [0.773, 0.717, 0.963], [0.227, 0.283, 0.037], [0.000, 0.000, 0.000], [0.000, 0.000, 0.500]]
}

[4]
{
  "formula": "NaThCu2S4",
  "functional": "GGA-PBE",
  "state": "optimized geometry",
  "dos_at_fermi_per_ev_atom": 0.10,
  "e_form_raw_kj_per_mol_fu": -722,
  "sg": "I-42m (121)",
  "lattice": [[-4.414, -3.570, -3.326], [0.561, -5.778, -1.049], [-4.278, -3.157, 2.558]],
  "species": ["S", "Na", "S", "S", "Th", "Cu", "S", "Cu"],
  "frac_coords": [[0.026, 0.973, 0.512], [0.500, 0.500, 0.500], [0.512, 0.027, 0.488], [0.488, 0.512, 0.973], [0.000, 0.000, 0.000], [0.750, 0.750, 0.750], [0.974, 0.488, 0.027], [0.250, 0.250, 0.250]]
}

[5]
{
  "formula": "Na4Th3CuS8",
  "functional": "GGA-PBE",
  "state": "optimized geometry",
  "dos_at_fermi_per_ev_atom": 0.36,
  "e_form_raw_kj_per_mol_fu": -2237,
  "sg": "C2/m (12)",
  "lattice": [[-3.777, -6.924, 0.464], [7.080, -3.743, 1.775], [-2.593, 6.229, 4.578]],
  "species": ["Na", "S", "S", "Na", "S", "Cu", "Th", "S", "Na", "Th", "Na", "S", "S", "S", "Th", "S"],
  "frac_coords": [[0.500, 0.000, 0.500], [0.743, 0.253, 0.485], [0.772, 0.282, 0.021], [0.000, 0.000, 0.500], [0.742, 0.741, 0.485], [0.000, 0.500, 0.000], [0.500, 0.500, 0.000], [0.258, 0.259, 0.515], [0.500, 0.000, 0.000], [0.000, 0.500, 0.500], [0.000, 0.000, 0.000], [0.228, 0.718, 0.979], [0.249, 0.282, 0.021], [0.751, 0.718, 0.979], [0.500, 0.500, 0.500], [0.257, 0.747, 0.515]]
}

[6]
{
  "formula": "Na2ThCuS4",
  "functional": "GGA-PBE",
  "state": "optimized geometry",
  "dos_at_fermi_per_ev_atom": 0.54,
  "e_form_raw_kj_per_mol_fu": -852,
  "sg": "Cmcm (63)",
  "lattice": [[-0.126, 0.945, 3.774], [1.200, -6.487, -0.343], [13.622, 2.529, -0.177]],
  "species": ["S", "Na", "Na", "Th", "S", "S", "S", "Th", "S", "Cu", "S", "S", "S", "Cu", "Na", "Na"],
  "frac_coords": [[0.000, 0.000, 0.500], [0.640, 0.279, 0.058], [0.360, 0.721, 0.558], [0.905, 0.809, 0.250], [0.000, 0.000, 0.000], [0.697, 0.395, 0.634], [0.432, 0.863, 0.750], [0.095, 0.191, 0.750], [0.697, 0.395, 0.866], [0.171, 0.342, 0.250], [0.303, 0.605, 0.134], [0.568, 0.137, 0.250], [0.303, 0.605, 0.366], [0.829, 0.658, 0.750], [0.360, 0.721, 0.942], [0.640, 0.279, 0.442]]
}

[7]
{
  "formula": "NaTiCuS3",
  "functional": "GGA-PBE",
  "state": "optimized geometry",
  "dos_at_fermi_per_ev_atom": 0.07,
  "e_form_raw_kj_per_mol_fu": -611,
  "sg": "Pnma (62)",
  "lattice": [[3.580, 0.000, 0.000], [0.000, 9.622, 0.000], [0.000, 0.000, 13.041]],
  "species": ["Na", "Cu", "S", "Ti", "S", "Cu", "S", "Cu", "S", "S", "Ti", "Ti", "Na", "S", "S", "Ti", "Na", "Na", "S", "S", "S", "S", "S", "Cu"],
  "frac_coords": [[0.750, 0.954, 0.766], [0.750, 0.404, 0.512], [0.250, 0.128, 0.901], [0.250, 0.326, 0.012], [0.750, 0.435, 0.906], [0.250, 0.904, 0.988], [0.750, 0.628, 0.599], [0.250, 0.596, 0.488], [0.250, 0.737, 0.867], [0.250, 0.372, 0.401], [0.750, 0.674, 0.988], [0.750, 0.826, 0.488], [0.750, 0.546, 0.266], [0.250, 0.763, 0.367], [0.250, 0.565, 0.094], [0.250, 0.174, 0.512], [0.250, 0.046, 0.234], [0.250, 0.454, 0.734], [0.250, 0.935, 0.594], [0.750, 0.065, 0.406], [0.750, 0.237, 0.633], [0.750, 0.872, 0.099], [0.750, 0.263, 0.133], [0.750, 0.096, 0.012]]
}

[8]
{
  "formula": "Na2Ti2CuS6",
  "functional": "GGA-PBE",
  "state": "optimized geometry",
  "dos_at_fermi_per_ev_atom": 0.63,
  "e_form_raw_kj_per_mol_fu": -1082,
  "sg": "C2/m (12)",
  "lattice": [[-1.159, -2.820, 5.367], [-1.908, -2.387, -5.363], [6.819, -1.738, -0.546]],
  "species": ["S", "Na", "S", "Cu", "S", "S", "Na", "S", "S", "Ti", "Ti"],
  "frac_coords": [[0.264, 0.264, 0.305], [0.161, 0.839, 0.000], [0.069, 0.414, 0.706], [0.000, 0.000, 0.500], [0.414, 0.069, 0.706], [0.736, 0.736, 0.695], [0.839, 0.161, 0.000], [0.586, 0.931, 0.294], [0.931, 0.586, 0.294], [0.331, 0.669, 0.500], [0.669, 0.331, 0.500]]
}